# 1
A plane-wave DFT calculation with PBE was carried out for a relaxed structure of Pm2DyHfN4.

Values from the calculation:
theoretical density = 9.73 g/cm³
space-group type = P2/m (10)
raw formation energy = -1.612 eV per atom

extended XYZ file:
```
8
Lattice="5.979 0.000 0.000 0.000 3.442 0.000 -1.968 0.000 5.700" Properties=species:S:1:pos:R:3 pbc="T T T"
Pm 0.000 0.000 0.000
Pm 2.989 1.721 0.000
Dy -0.984 1.721 2.850
Hf 2.005 0.000 2.850
N 0.112 0.000 4.150
N 1.078 1.721 1.587
N 2.933 1.721 4.113
N 3.899 0.000 1.550
```



# 2
A plane-wave DFT calculation with PBE was carried out for a relaxed structure of Cs2LaGaS4.

Values from the calculation:
theoretical density = 3.71 g/cm³
space-group type = C2/c (15)
raw formation energy = -1.175 eV per atom

extended XYZ file:
```
16
Lattice="5.495 -6.167 0.000 5.495 6.167 0.000 -2.641 0.000 7.966" Properties=species:S:1:pos:R:3 pbc="T T T"
Cs 0.000 0.000 0.000
Cs -1.321 0.000 3.983
Cs 2.748 3.083 0.000
Cs 1.427 -3.083 3.983
La 5.495 0.000 0.000
La 4.175 0.000 3.983
Ga 1.427 3.083 3.983
Ga 2.748 -3.083 0.000
S 3.506 2.920 3.392
S 1.700 0.530 5.374
S 6.164 2.920 0.591
S 3.020 -0.530 1.391
S 5.329 0.530 6.576
S 2.186 -2.920 7.375
S 6.650 -0.530 2.593
S 4.843 -2.920 4.574
```